Ac5Pm4Ho2: optimized geometry, GGA-PBE.

Output
Space group: P2/m, No. 10
Calculated total energy in Ry per atom: -0.313
DOS(E_F) in states/eV/cell: 19.95

Cell: 3.6909 12.5253 15.9523 Å, 144.16 90.00 90.00°
Atoms (fractional coordinates):
1 Ho 0.0000 0.0315 0.6525
2 Ac 0.0000 0.6024 0.2839
3 Pm 0.5000 0.1555 0.9212
4 Ac 0.0000 0.3976 0.7161
5 Pm 0.5000 0.6847 0.5384
6 Pm 0.5000 0.3153 0.4616
7 Ac 0.0000 0.7771 0.8016
8 Pm 0.5000 0.8445 0.0788
9 Ac 0.0000 0.2229 0.1984
10 Ac 0.0000 0.5000 0.0000
11 Ho 0.0000 0.9685 0.3475

***

NdCdFe: optimized geometry, GGA-PBE.

Output
Space group: C2/m, No. 12
Calculated total energy in Ry per atom: -0.348
DOS(E_F) in states/eV/cell: 6.78

Cell: 3.9045 5.2248 7.0152 Å, 103.06 106.16 90.00°
Atoms (fractional coordinates):
1 Fe 0.2314 0.9117 0.4629
2 Fe 0.7686 0.0883 0.5371
3 Nd 0.8662 0.6760 0.7324
4 Nd 0.1338 0.3240 0.2676
5 Cd 0.4259 0.2152 0.8518
6 Cd 0.5741 0.7848 0.1482

***

AlP2W: optimized geometry, GGA-PBE.

Output
Space group: Imm2, No. 44
Calculated total energy in Ry per atom: -0.496
DOS(E_F) in states/eV/cell: 1.67

Cell: 4.9013 4.9013 4.9013 Å, 142.40 127.38 66.46°
Atoms (fractional coordinates):
1 Al 0.2321 0.7321 0.5000
2 P 0.7593 0.2593 0.5000
3 W 0.5127 0.5127 0.0000
4 P 0.9958 0.9958 0.0000